Entry 1:
A plane-wave DFT calculation with PBE was carried out for crystalline CoCuTc2 at its relaxed geometry.

Fermi-level density of states (states/eV/f.u.): 4.6
Density (g cm⁻³): 9.386
Offset from the most stable computed form (kJ per mole of atoms): 54.29
ΔH_f (0 K) (kcal/mol of atoms): 15.864

a b c (Å): 6.748 6.748 4.950
angles (deg): 90.00 90.00 90.00
Space group I-42d (No. 122)
Symmetry-distinct sites (fractional):
Co 0.000 0.000 0.000 (multiplicity 4)
Cu 0.000 0.000 0.500 (multiplicity 4)
Tc 0.220 0.250 0.125 (multiplicity 8)

***

Entry 2:
A plane-wave DFT calculation with PBE was carried out for crystalline CuPbAu at its relaxed geometry.

Fermi-level density of states (states/eV/f.u.): 1.9
Density (g cm⁻³): 12.229
Offset from the most stable computed form (kJ per mole of atoms): 10.91
ΔH_f (0 K) (kcal/mol of atoms): 2.621

a b c (Å): 4.4773 4.4773 3.6582
angles (deg): 90.00 90.00 120.00
Space group P3m1 (No. 156)
Symmetry-distinct sites (fractional):
Cu 0.0000 0.0000 0.0000 (multiplicity 1)
Pb 0.6667 0.3333 0.4882 (multiplicity 1)
Au 0.3333 0.6667 0.9819 (multiplicity 1)

***

Entry 3:
A plane-wave DFT calculation with PBE was carried out for crystalline CdAs2Se at its relaxed geometry.

Fermi-level density of states (states/eV/f.u.): 3.0
Density (g cm⁻³): 6.328
Offset from the most stable computed form (kJ per mole of atoms): 47.36
Raw formation energy (eV/atom): 0.376

a b c (Å): 2.801 2.801 11.411
angles (deg): 90.00 90.00 90.00
Space group P4/mmm (No. 123)
Symmetry-distinct sites (fractional):
Cd 0.000 0.000 0.000 (multiplicity 1)
As 0.500 0.500 0.217 (multiplicity 2)
Se 0.000 0.000 0.500 (multiplicity 1)

***

Entry 4:
A plane-wave DFT calculation with PBE was carried out for crystalline RbTlPb at its relaxed geometry.

Fermi-level density of states (states/eV/f.u.): 1.1
Density (g cm⁻³): 6.209
ΔH_f (0 K) (kcal/mol of atoms): -1.540

a b c (Å): 5.1222 5.1222 5.8508
angles (deg): 90.00 90.00 120.00
Space group P3m1 (No. 156)
Symmetry-distinct sites (fractional):
Rb 0.0000 0.0000 0.0000 (multiplicity 1)
Tl 0.6667 0.3333 0.5598 (multiplicity 1)
Pb 0.3333 0.6667 0.4563 (multiplicity 1)

***

Entry 5:
A plane-wave DFT calculation with PBE was carried out for crystalline DyMgGa2Au2 at its relaxed geometry.

Fermi-level density of states (states/eV/f.u.): 3.0
Density (g cm⁻³): 10.162
ΔH_f (0 K) (kcal/mol of atoms): -14.297

a b c (Å): 4.4978 4.4978 6.7173
angles (deg): 90.00 90.00 120.00
Space group P-3m1 (No. 164)
Symmetry-distinct sites (fractional):
Dy 0.0000 0.0000 0.0000 (multiplicity 1)
Mg 0.0000 0.0000 0.5000 (multiplicity 1)
Ga 0.3333 0.6667 0.7360 (multiplicity 2)
Au 0.3333 0.6667 0.2730 (multiplicity 2)

***

Entry 6:
A plane-wave DFT calculation with PBE was carried out for crystalline TbPr2Dy5Er at its relaxed geometry.

Fermi-level density of states (states/eV/f.u.): 11.9
Density (g cm⁻³): 8.011
ΔH_f (0 K) (kcal/mol of atoms): 6.285

a b c (Å): 8.619 8.619 15.855
angles (deg): 90.00 90.00 90.00
Space group I4/mcm (No. 140)
Symmetry-distinct sites (fractional):
Tb 0.000 0.000 0.250 (multiplicity 4)
Pr 0.119 0.381 0.000 (multiplicity 8)
Dy 0.000 0.000 0.000 (multiplicity 4)
Dy 0.214 0.286 0.359 (multiplicity 16)
Er 0.000 0.500 0.250 (multiplicity 4)

***

Entry 7:
A plane-wave DFT calculation with PBE was carried out for crystalline Li2PuSbN at its relaxed geometry.

Fermi-level density of states (states/eV/f.u.): 9.0
Density (g cm⁻³): 7.830
Raw formation energy (eV/atom): -0.640

a b c (Å): 3.309 13.909 7.256
angles (deg): 90.00 90.00 90.00
Space group Cmcm (No. 63)
Symmetry-distinct sites (fractional):
Li 0.000 0.140 0.057 (multiplicity 8)
Pu 0.000 0.468 0.250 (multiplicity 4)
Sb 0.000 0.243 0.750 (multiplicity 4)
N 0.000 0.000 0.000 (multiplicity 4)

***

Entry 8:
A plane-wave DFT calculation with PBE was carried out for crystalline PaNbC at its relaxed geometry.

Fermi-level density of states (states/eV/f.u.): 3.8
Density (g cm⁻³): 10.848
Offset from the most stable computed form (kJ per mole of atoms): 0.00
ΔH_f (0 K) (kcal/mol of atoms): -4.971

a b c (Å): 3.2286 3.2286 5.6967
angles (deg): 90.00 90.00 120.00
Space group P3m1 (No. 156)
Symmetry-distinct sites (fractional):
Pa 0.0000 0.0000 0.0000 (multiplicity 1)
Nb 0.3333 0.6667 0.5098 (multiplicity 1)
C 0.6667 0.3333 0.7082 (multiplicity 1)

***

Entry 9:
A plane-wave DFT calculation with PBE was carried out for crystalline Ba2BF at its relaxed geometry.

Fermi-level density of states (states/eV/f.u.): 3.1
Density (g cm⁻³): 3.770
Offset from the most stable computed form (kJ per mole of atoms): 0.00
Raw formation energy (eV/atom): -0.793

a b c (Å): 6.267 6.267 13.660
angles (deg): 90.00 90.00 90.00
Space group I-42d (No. 122)
Symmetry-distinct sites (fractional):
Ba 0.226 0.250 0.125 (multiplicity 8)
B 0.000 0.000 0.500 (multiplicity 4)
F 0.000 0.000 0.000 (multiplicity 4)

***

Entry 10:
A plane-wave DFT calculation with PBE was carried out for crystalline VNiPd at its relaxed geometry.

Fermi-level density of states (states/eV/f.u.): 3.3
Density (g cm⁻³): 9.074
Offset from the most stable computed form (kJ per mole of atoms): 10.53
ΔH_f (0 K) (kcal/mol of atoms): -2.860

a b c (Å): 4.1641 4.1641 2.6330
angles (deg): 90.00 90.00 120.00
Space group P3m1 (No. 156)
Symmetry-distinct sites (fractional):
V 0.0000 0.0000 0.0000 (multiplicity 1)
Ni 0.3333 0.6667 0.1423 (multiplicity 1)
Pd 0.6667 0.3333 0.5814 (multiplicity 1)

***

Entry 11:
A plane-wave DFT calculation with PBE was carried out for crystalline LiTcSb2 at its relaxed geometry.

Fermi-level density of states (states/eV/f.u.): 1.6
Density (g cm⁻³): 7.882
Offset from the most stable computed form (kJ per mole of atoms): 11.19
Raw formation energy (eV/atom): -0.056

a b c (Å): 6.647 6.647 6.647
angles (deg): 90.00 90.00 90.00
Space group Fm-3m (No. 225)
Symmetry-distinct sites (fractional):
Li 0.000 0.000 0.000 (multiplicity 4)
Tc 0.000 0.000 0.500 (multiplicity 4)
Sb 0.250 0.250 0.250 (multiplicity 8)

***

Entry 12:
A plane-wave DFT calculation with PBE was carried out for crystalline Ga2BiRu2 at its relaxed geometry.

Fermi-level density of states (states/eV/f.u.): 5.4
Density (g cm⁻³): 10.726
Offset from the most stable computed form (kJ per mole of atoms): 0.00
ΔH_f (0 K) (kcal/mol of atoms): 0.693

a b c (Å): 7.422 7.422 3.094
angles (deg): 90.00 90.00 90.00
Space group P4/mbm (No. 127)
Symmetry-distinct sites (fractional):
Ga 0.142 0.358 0.000 (multiplicity 4)
Bi 0.000 0.000 0.500 (multiplicity 2)
Ru 0.149 0.649 0.500 (multiplicity 4)